<a>
Computed, not measured: a relaxed Sm3CuHg crystal at the GGA-PBE level of DFT.

```
10
Lattice="2.611 -9.901 0.000 2.611 9.901 0.000 0.000 0.000 5.223" Properties=species:S:1:pos:R:3 pbc="T T T"
Sm 2.611 8.593 3.917
Sm 2.611 4.946 3.917
Sm 2.611 1.301 3.917
Sm 2.611 -1.301 1.306
Sm 2.611 -4.946 1.306
Sm 2.611 -8.593 1.306
Cu 2.611 6.769 1.306
Cu 2.611 -6.769 3.917
Hg 2.611 3.102 1.306
Hg 2.611 -3.102 3.917
```

Output
Calculated density in g/cm3: 8.80
Magnetic moment in μB per cell: 0.00
Space group: Cmcm, No. 63



<b>
Computed, not measured: a relaxed Sm3CuHg crystal at the GGA-PBE level of DFT.

```
10
Lattice="3.866 0.000 0.000 0.074 9.159 0.000 0.075 3.909 8.290" Properties=species:S:1:pos:R:3 pbc="T T T"
Sm 0.000 0.000 0.000
Sm 0.075 5.902 5.143
Sm 0.072 2.945 3.119
Sm 0.147 9.978 6.467
Sm 1.883 7.694 2.673
Sm 2.025 7.245 8.198
Cu 1.998 1.239 1.841
Cu 2.073 8.093 5.474
Hg 2.008 3.404 5.763
Hg 3.823 5.616 1.348
```

Output
Calculated density in g/cm3: 8.09
Magnetic moment in μB per cell: 0.00
Space group: P1, No. 1



What is the most stable structure shown above? It is <a>.